Below is a crystal of ZnTe2 relaxed with PBEsol, with properties calculated at the meta-GGA SCAN level.

Cell: 3.9729 3.9729 6.0712 Å, 70.90 70.90 60.00°
With the nearest neighbours (Å) after each atom.
Positions (direct):
Te 0.2386 0.2386 0.2843  3 Zn 2.78
Te 0.4293 0.4293 0.7120  3 Zn 2.82
Zn 0.9988 0.9988 0.0036  6 Te 2.78-2.82

Its symmetry is R3m. Its density of states at the Fermi level is 0.5255 states/eV per atom. The value obtained for the energy is -29.332 eV per atom. As for the uncorrected formation energy: 7 meV/atom. For the magnetic moment, the calculation gives 0.0 Bohr magnetons per cell. The value obtained for the density is 6.929 Mg/m³.